Below is an optimized crystal structure of MnPdC, with properties calculated at the PBE level.

ΔH_f (0 K): 0.240 eV/atom
Magnetization: 2.14 μB per formula unit
Space group: Imm2 (44)
Relative energy among the computed polymorphs: 79.0 meV per atom
Total energy: -7.62 eV/atom
D(E_F): 0.50 states/eV/atom

Cell lengths 5.4608, 5.4608, 5.4608 Å; angles 150.49, 120.81, 67.51 degrees
Fractional positions:
Mn (0.2434, 0.0000, 0.2434)
Mn (0.7566, 0.0000, 0.7566)
Pd (0.2619, 0.2619, 0.0000)
Pd (0.7378, 0.7378, 0.0000)
C (0.0722, 0.5722, 0.5000)
C (0.4974, 0.4974, 0.0000)

Below is an optimized crystal structure of MnPdC, with properties calculated at the PBE level.

ΔH_f (0 K): 0.261 eV/atom
Magnetization: 2.15 μB per formula unit
Space group: Amm2 (38)
Relative energy among the computed polymorphs: 100.2 meV per atom
Total energy: -7.60 eV/atom
D(E_F): 0.55 states/eV/atom

Cell lengths 2.8391, 4.4770, 4.4770 Å; angles 35.54, 90.00, 90.00 degrees
Fractional positions:
Mn (0.0000, 0.0000, 0.0000)
Pd (0.5000, 0.2677, 0.2677)
C (0.5000, 0.5448, 0.5448)

Below is an optimized crystal structure of MnPdC, with properties calculated at the PBE level.

ΔH_f (0 K): 0.161 eV/atom
Magnetization: 2.51 μB per formula unit
Space group: P4/mmm (123)
Relative energy among the computed polymorphs: 0.0 meV per atom
Total energy: -7.70 eV/atom
D(E_F): 0.63 states/eV/atom

Cell lengths 2.8448, 2.8448, 4.2324 Å; angles 90.00, 90.00, 90.00 degrees
Fractional positions:
Mn (0.0000, 0.0000, 0.0000)
Pd (0.5000, 0.5000, 0.5000)
C (0.5000, 0.5000, 0.0000)